[1]
Entry from OQMD: crystalline LaAl2Pd3 at its relaxed geometry (GGA-PBE).

The structure belongs to space group Pnma (No. 62); the cell edges are 7.550, 4.400 and 13.371 Å and the angles 90.00°, 90.00° and 90.00°. The asymmetric unit holds La at (0.025, 0.250, 0.188), Al at (0.113, 0.750, 0.376), Al at (0.242, 0.250, 0.519), Pd at (0.065, 0.750, 0.574), Pd at (0.096, 0.250, 0.964) and Pd at (0.194, 0.250, 0.713).

The volume comes out at 18.510 Å³/atom. As for the raw total energy: -5.56 eV/atom.

---

[2]
Entry from OQMD: crystalline Gd2Y3Al3 at its relaxed geometry (GGA-PBE).

The structure belongs to space group Pm (No. 6); the cell edges are 6.540, 4.998 and 6.569 Å and the angles 90.00°, 103.04° and 90.00°. The asymmetric unit holds Gd at (0.000, 0.000, 0.000), Gd at (0.215, 0.500, 0.702), Y at (0.496, 0.000, 0.987), Y at (0.510, 0.000, 0.491), Y at (0.789, 0.500, 0.280), Al at (0.007, 0.000, 0.497), Al at (0.287, 0.500, 0.207) and Al at (0.718, 0.500, 0.775).

The volume comes out at 26.147 Å³/atom. As for the raw total energy: -5.24 eV/atom.

---

[3]
Entry from OQMD: crystalline CsSr3Pd at its relaxed geometry (GGA-PBE).

The structure belongs to space group Pmmm (No. 47); the cell edges are 4.564, 6.078 and 9.600 Å and the angles 90.00°, 90.00° and 90.00°. The asymmetric unit holds Cs at (0.000, 0.000, 0.000), Sr at (0.000, 0.000, 0.500), Sr at (0.500, 0.500, 0.293) and Pd at (0.000, 0.500, 0.500).

The volume comes out at 53.260 Å³/atom. As for the raw total energy: -2.46 eV/atom.

---

[4]
Entry from OQMD: crystalline LiCoSbIr at its relaxed geometry (GGA-PBE).

The structure belongs to space group F-43m (No. 216); the cell edges are 6.073, 6.073 and 6.073 Å and the angles 90.00°, 90.00° and 90.00°. The asymmetric unit holds Li at (0.000, 0.000, 0.000), Co at (0.250, 0.250, 0.750), Sb at (0.000, 0.000, 0.500) and Ir at (0.250, 0.250, 0.250).

The volume comes out at 14.000 Å³/atom. As for the raw total energy: -5.69 eV/atom.

---

[5]
Entry from OQMD: crystalline TbHoU at its relaxed geometry (GGA-PBE).

The structure belongs to space group F-43m (No. 216); the cell edges are 7.399, 7.399 and 7.399 Å and the angles 90.00°, 90.00° and 90.00°. The asymmetric unit holds Tb at (0.000, 0.000, 0.000), Ho at (0.250, 0.250, 0.250) and U at (0.000, 0.000, 0.500).

The volume comes out at 33.757 Å³/atom. As for the energy of formation from the pure elements: 1.281 eV/atom.

---

[6]
Entry from OQMD: crystalline HfTlAgSe3 at its relaxed geometry (GGA-PBE).

The structure belongs to space group Pnma (No. 62); the cell edges are 10.783, 3.901 and 14.320 Å and the angles 90.00°, 90.00° and 90.00°. The asymmetric unit holds Hf at (0.030, 0.250, 0.245), Tl at (0.244, 0.750, 0.006), Ag at (0.249, 0.250, 0.814), Se at (0.025, 0.250, 0.880), Se at (0.027, 0.750, 0.377) and Se at (0.245, 0.750, 0.685).

The volume comes out at 25.095 Å³/atom. As for the raw total energy: -5.05 eV/atom.

---

[7]
Entry from OQMD: crystalline GdAlB4 at its relaxed geometry (GGA-PBE).

The structure belongs to space group Immm (No. 71); the cell edges are 3.206, 5.242 and 7.821 Å and the angles 90.00°, 90.00° and 90.00°. The asymmetric unit holds Gd at (0.000, 0.000, 0.000), Al at (0.000, 0.000, 0.500) and B at (0.000, 0.328, 0.259).

The volume comes out at 10.953 Å³/atom. As for the raw total energy: -6.07 eV/atom.

---

[8]
Entry from OQMD: crystalline Nb6Co16Si7 at its relaxed geometry (GGA-PBE).

The structure belongs to space group Fm-3m (No. 225); the cell edges are 11.168, 11.168 and 11.168 Å and the angles 90.00°, 90.00° and 90.00°. The asymmetric unit holds Nb at (0.000, 0.000, 0.203), Co at (0.119, 0.119, 0.381), Co at (0.167, 0.167, 0.167), Si at (0.000, 0.000, 0.500) and Si at (0.000, 0.250, 0.250).

The volume comes out at 12.008 Å³/atom. As for the raw total energy: -7.87 eV/atom.

---

[9]
Entry from OQMD: crystalline ScZnNiSn at its relaxed geometry (GGA-PBE).

The structure belongs to space group F-43m (No. 216); the cell edges are 6.482, 6.482 and 6.482 Å and the angles 90.00°, 90.00° and 90.00°. The asymmetric unit holds Sc at (0.000, 0.000, 0.000), Zn at (0.250, 0.250, 0.750), Ni at (0.000, 0.000, 0.500) and Sn at (0.250, 0.250, 0.250).

The volume comes out at 17.021 Å³/atom. As for the raw total energy: -4.57 eV/atom.

---

[10]
Entry from OQMD: crystalline LaNdRe at its relaxed geometry (GGA-PBE).

The structure belongs to space group F-43m (No. 216); the cell edges are 6.919, 6.919 and 6.919 Å and the angles 90.00°, 90.00° and 90.00°. The asymmetric unit holds La at (0.000, 0.000, 0.000), Nd at (0.250, 0.250, 0.250) and Re at (0.000, 0.000, 0.500).

The volume comes out at 27.602 Å³/atom. As for the energy of formation from the pure elements: 1.077 eV/atom.

---

[11]
Entry from OQMD: crystalline BiSbOs at its relaxed geometry (GGA-PBE).

The structure belongs to space group F-43m (No. 216); the cell edges are 6.571, 6.571 and 6.571 Å and the angles 90.00°, 90.00° and 90.00°. The asymmetric unit holds Bi at (0.000, 0.000, 0.000), Sb at (0.000, 0.000, 0.500) and Os at (0.250, 0.250, 0.250).

The volume comes out at 23.640 Å³/atom. As for the raw total energy: -6.12 eV/atom.

---

[12]
Entry from OQMD: crystalline Sc3AgN at its relaxed geometry (GGA-PBE).

The structure belongs to space group P-1 (No. 2); the cell edges are 6.212, 6.218 and 6.265 Å and the angles 119.72°, 119.53° and 90.13°. The asymmetric unit holds Sc at (0.212, 0.212, 0.013), Sc at (0.255, 0.768, 0.500), Sc at (0.283, 0.695, 0.978), Ag at (0.251, 0.247, 0.500), N at (0.000, 0.500, 0.000) and N at (0.500, 0.000, 0.000).

The volume comes out at 17.288 Å³/atom. As for the raw total energy: -6.95 eV/atom.

---

[13]
Entry from OQMD: crystalline Hf2BiW at its relaxed geometry (GGA-PBE).

The structure belongs to space group F-43m (No. 216); the cell edges are 6.910, 6.910 and 6.910 Å and the angles 90.00°, 90.00° and 90.00°. The asymmetric unit holds Hf at (0.000, 0.000, 0.000), Hf at (0.250, 0.250, 0.250), Bi at (0.000, 0.000, 0.500) and W at (0.250, 0.250, 0.750).

The volume comes out at 20.624 Å³/atom. As for the raw total energy: -8.79 eV/atom.

---

[14]
Entry from OQMD: crystalline Tm2PBrCl at its relaxed geometry (GGA-PBE).

The structure belongs to space group P3m1 (No. 156); the cell edges are 3.9123, 3.9123 and 10.4854 Å and the angles 90.00°, 90.00° and 120.00°. The asymmetric unit holds Tm at (0.0000, 0.0000, 0.0000), Tm at (0.3333, 0.6667, 0.7146), P at (0.6667, 0.3333, 0.8571), Br at (0.3333, 0.6667, 0.1731) and Cl at (0.0000, 0.0000, 0.5606).

The volume comes out at 27.797 Å³/atom. As for the raw total energy: -5.41 eV/atom.